Material: NiPt4Rh4
Method: DFT, GGA-PBE
State: relaxed

Structure (POSCAR):
```
NiPt4Rh4
1.0
3.671 0.000 1.243
1.836 5.830 0.622
-0.034 0.000 6.144
Ni Pt Rh
1 4 4
Direct
0.000 0.000 0.000 Ni
0.336 0.000 0.329 Pt
0.336 0.329 0.000 Pt
0.664 0.671 0.000 Pt
0.664 0.000 0.671 Pt
0.000 0.336 0.664 Rh
0.664 0.336 0.336 Rh
0.000 0.664 0.336 Rh
0.336 0.664 0.664 Rh
```

Summary:
VASP energy: -6.6159 eV/atom
E above lowest polymorph: 0.0 kJ/mol of atoms
SG: I4/mmm